(1)
Compound: Pa3Si2
Source: Alexandria
Functional: PBE
Structure: relaxed

The calculated volume is 21.9 A^3/atom. As for the formation energy (no corrections): -0.489 eV/atom. The space-group type is P4/mbm.

Lattice parameters (Å, degrees): 7.414 7.414 3.978 90.00 90.00 90.00
Fractional coordinates of all 10 atoms:
Pa: 0.000 0.000 0.000
Pa: 0.184 0.316 0.500
Pa: 0.316 0.816 0.500
Pa: 0.500 0.500 0.000
Pa: 0.684 0.184 0.500
Pa: 0.816 0.684 0.500
Si: 0.115 0.615 0.000
Si: 0.385 0.115 0.000
Si: 0.615 0.885 0.000
Si: 0.885 0.385 0.000

=====

(2)
Compound: Pa5Si3
Source: Alexandria
Functional: PBE
Structure: relaxed

The calculated volume is 21.7 A^3/atom. As for the formation energy (no corrections): -0.420 eV/atom. The space-group type is I4/mcm.

Lattice parameters (Å, degrees): 8.240 8.240 8.240 126.85 126.85 78.49
Fractional coordinates of all 16 atoms:
Pa: 0.000 0.000 0.000
Pa: 0.017 0.517 0.845
Pa: 0.171 0.017 0.500
Pa: 0.329 0.829 0.845
Pa: 0.483 0.329 0.500
Pa: 0.500 0.500 0.000
Pa: 0.517 0.671 0.500
Pa: 0.671 0.171 0.155
Pa: 0.829 0.983 0.500
Pa: 0.983 0.483 0.155
Si: 0.120 0.380 0.500
Si: 0.250 0.250 0.000
Si: 0.380 0.880 0.260
Si: 0.620 0.120 0.740
Si: 0.750 0.750 0.000
Si: 0.880 0.620 0.500

=====

(3)
Compound: Pa2Si
Source: Alexandria
Functional: PBE
Structure: relaxed

The calculated volume is 23.1 A^3/atom. As for the formation energy (no corrections): -0.125 eV/atom. The space-group type is Cmce.

Lattice parameters (Å, degrees): 6.579 6.579 7.222 90.00 90.00 62.44
Fractional coordinates of all 12 atoms:
Pa: 0.029 0.471 0.750
Pa: 0.138 0.862 0.850
Pa: 0.362 0.638 0.350
Pa: 0.471 0.029 0.250
Pa: 0.529 0.971 0.750
Pa: 0.638 0.362 0.650
Pa: 0.862 0.138 0.150
Pa: 0.971 0.529 0.250
Si: 0.110 0.110 0.500
Si: 0.390 0.390 0.000
Si: 0.610 0.610 0.000
Si: 0.890 0.890 0.500

=====

(4)
Compound: Sm2PaSi
Source: Alexandria
Functional: PBE
Structure: relaxed

The calculated volume is 26.3 A^3/atom. As for the formation energy (no corrections): 0.211 eV/atom. The space-group type is R-3m.

Lattice parameters (Å, degrees): 11.316 11.316 11.316 16.77 16.77 16.77
Fractional coordinates of all 4 atoms:
Sm: 0.097 0.097 0.097
Sm: 0.903 0.903 0.903
Pa: 0.000 0.000 0.000
Si: 0.500 0.500 0.500

=====

(5)
Compound: Sm2Pa3Si4
Source: Alexandria
Functional: PBE
Structure: relaxed

The calculated volume is 23.1 A^3/atom. As for the formation energy (no corrections): -0.542 eV/atom. The space-group type is P2_1/c.

Lattice parameters (Å, degrees): 7.617 7.646 7.477 90.00 107.52 90.00
Fractional coordinates of all 18 atoms:
Sm: 0.200 0.177 0.082
Sm: 0.200 0.323 0.582
Sm: 0.800 0.677 0.418
Sm: 0.800 0.823 0.918
Pa: 0.251 0.687 0.248
Pa: 0.251 0.813 0.748
Pa: 0.500 0.000 0.500
Pa: 0.500 0.500 0.000
Pa: 0.749 0.187 0.252
Pa: 0.749 0.313 0.752
Si: 0.082 0.525 0.877
Si: 0.082 0.975 0.377
Si: 0.488 0.117 0.877
Si: 0.488 0.383 0.377
Si: 0.512 0.617 0.623
Si: 0.512 0.883 0.123
Si: 0.918 0.025 0.623
Si: 0.918 0.475 0.123

=====

(6)
Compound: Sm2PaSi6
Source: Alexandria
Functional: PBE
Structure: relaxed

The calculated volume is 19.5 A^3/atom. As for the formation energy (no corrections): -0.560 eV/atom. The space-group type is P6/mmm.

Lattice parameters (Å, degrees): 7.072 7.072 4.045 90.00 90.00 120.00
Fractional coordinates of all 9 atoms:
Sm: 0.333 0.667 0.000
Sm: 0.667 0.333 0.000
Pa: 0.000 0.000 0.000
Si: 0.000 0.331 0.500
Si: 0.000 0.669 0.500
Si: 0.331 0.000 0.500
Si: 0.331 0.331 0.500
Si: 0.669 0.000 0.500
Si: 0.669 0.669 0.500

=====

(7)
Compound: SmPa2Si
Source: Alexandria
Functional: PBE
Structure: relaxed

The calculated volume is 23.4 A^3/atom. As for the formation energy (no corrections): -0.125 eV/atom. The space-group type is P4/mmm. For the relative energy among the computed polymorphs, the calculation gives 0.0 meV per atom.

Lattice parameters (Å, degrees): 4.359 4.359 4.924 90.00 90.00 90.00
Fractional coordinates of all 4 atoms:
Sm: 0.000 0.000 0.000
Pa: 0.000 0.500 0.500
Pa: 0.500 0.000 0.500
Si: 0.500 0.500 0.000

=====

(8)
Compound: SmPa2Si
Source: Alexandria
Functional: PBE
Structure: relaxed

The calculated volume is 24.9 A^3/atom. As for the formation energy (no corrections): 0.219 eV/atom. The space-group type is R-3m. For the relative energy among the computed polymorphs, the calculation gives 344.0 meV per atom.

Lattice parameters (Å, degrees): 11.471 11.471 11.471 15.97 15.97 15.97
Fractional coordinates of all 4 atoms:
Sm: 0.000 0.000 0.000
Pa: 0.098 0.098 0.098
Pa: 0.902 0.902 0.902
Si: 0.500 0.500 0.500